## NdHo3Zn8 (PBE)

Data for crystalline NdHo3Zn8 at its relaxed geometry.

```
NdHo3Zn8
1.0
5.5607 0.0000 0.0000
-2.7803 4.8157 0.0000
0.0000 0.0000 8.6863
Nd Ho Zn
1 3 8
Cartesian
0.0000 0.0000 4.8177
2.7804 1.6052 3.8673
2.7804 1.6052 0.5342
0.0000 0.0000 8.1756
0.0000 3.2105 4.3550
0.0000 3.2105 8.6786
2.7803 0.0213 6.5454
1.4086 2.3972 6.5454
4.1521 2.3972 6.5454
0.0000 1.6001 2.1321
-1.3946 4.0156 2.1321
1.3946 4.0156 2.1321
```

Computed properties:
As for the energy relative to the elements: -315 meV/atom.